No. 1
Pr3MoO7 at its PBEsol-relaxed geometry, computed with SCAN.

Unit cell a=7.5673 b=7.5869 c=10.9077 alpha=90.00 beta=90.00 gamma=90.00
Space group P2_12_12_1 (No. 19)
Asymmetric unit:
Pr: 0.0016 0.0590 0.2703 [4 per cell]
Pr: 0.0029 0.5468 0.7818 [4 per cell]
Pr: 0.2397 0.7126 0.5058 [4 per cell]
Mo: 0.2470 0.7540 0.9992 [4 per cell]
O: 0.0034 0.1927 0.4913 [4 per cell]
O: 0.0043 0.7892 0.3684 [4 per cell]
O: 0.0133 0.2611 0.8684 [4 per cell]
O: 0.2021 0.8854 0.8559 [4 per cell]
O: 0.2153 0.4324 0.6240 [4 per cell]
O: 0.2150 0.4582 0.3794 [4 per cell]
O: 0.2170 0.9428 0.1177 [4 per cell]

No. 2
InTeCl at its PBEsol-relaxed geometry, computed with SCAN.

Unit cell a=3.3469 b=5.2750 c=8.5827 alpha=90.00 beta=90.00 gamma=90.00
Space group Imm2 (No. 44)
Asymmetric unit:
In: 0.0000 0.0000 0.0000 [2 per cell]
Te: 0.0000 0.0000 0.6377 [2 per cell]
Cl: 0.0000 0.0000 0.3115 [2 per cell]

No. 3
TcBI2 at its PBEsol-relaxed geometry, computed with SCAN.

Unit cell a=6.6361 b=6.6361 c=6.6361 alpha=90.00 beta=90.00 gamma=90.00
Space group Fm-3m (No. 225)
Asymmetric unit:
Tc: 0.0000 0.0000 0.0000 [4 per cell]
B: 0.0000 0.0000 0.5000 [4 per cell]
I: 0.2500 0.2500 0.2500 [8 per cell]

For the records above, the corresponding total moment values read 1.0 0.0 0.0 μB per formula unit.
For the records above, the corresponding ΔE_f (raw) values read -3238.5 -236.1 1720.8 meV per atom.